Entry 1:
meta-GGA SCAN Co2AsF, PBEsol geometry; formation energy from raw total energies = -291 meV per atom
1.0
4.972 0.159 0.262
-1.682 4.682 -0.262
-1.682 -2.396 4.031
As Co F
2 4 2
direct
0.000 0.000 0.000
0.500 0.750 0.250
0.967 0.592 0.125
0.033 0.158 0.625
0.533 0.375 0.408
0.467 0.875 0.842
0.000 0.500 0.500
0.500 0.250 0.750

Entry 2:
meta-GGA SCAN CoAs3F, PBEsol geometry; formation energy from raw total energies = 208 meV per atom
1.0
4.467 0.000 0.000
0.000 4.467 0.000
0.000 0.000 4.467
As Co F
3 1 1
direct
0.000 0.500 0.000
0.000 0.000 0.500
0.500 0.000 0.000
0.000 0.000 0.000
0.500 0.500 0.500

Entry 3:
meta-GGA SCAN CoAsF3, PBEsol geometry; formation energy from raw total energies = -620 meV per atom
1.0
-3.192 -1.570 -2.269
2.636 -0.707 -3.218
0.817 -3.852 1.516
As Co F
1 1 3
direct
0.000 0.000 0.000
0.500 0.500 0.500
0.000 0.500 0.000
0.000 0.000 0.500
0.500 0.000 0.000

Entry 4:
meta-GGA SCAN K2CoAsF, PBEsol geometry; formation energy from raw total energies = -644 meV per atom
1.0
-3.307 2.491 -0.920
-3.224 -4.768 -1.323
-1.811 -0.333 5.611
As Co K F
1 1 2 1
direct
0.500 0.000 0.000
0.000 0.000 0.000
0.000 0.000 0.500
0.000 0.500 0.000
0.500 0.500 0.500

no.,DOS(E_F) (states/eV/atom)
1,0.469
2,0.900
3,0.944
4,0.250